This record from Alexandria via LeMat-Bulk describes a relaxed structure of SmTmNi2P2. The functional is PBE.

Computed properties:
Space-group type: P-3m1 (164)
Formation energy from the elements, kJ/mol of formula units: -696
Raw total energy, eV per atom: -6.465

CIF file:
```
data_SmTmNi2P2
_chemical_formula_sum 'Sm1 Tm1 Ni2 P2'
_space_group_name_H-M_alt 'P 1'
_space_group_IT_number 1
_cell_length_a 3.896
_cell_length_b 3.896
_cell_length_c 7.813
_cell_angle_alpha 90.00
_cell_angle_beta 90.00
_cell_angle_gamma 120.00
loop_
_space_group_symop_operation_xyz
'x,y,z'
loop_
_atom_site_label
_atom_site_fract_x
_atom_site_fract_y
_atom_site_fract_z
Sm1 0.000 0.000 0.000
Tm1 0.000 0.000 0.500
Ni1 0.667 0.333 0.258
Ni2 0.333 0.667 0.742
P1 0.667 0.333 0.741
P2 0.333 0.667 0.259
```